No. 1
# PBE SrUS4, relaxed
data_SrUS4
_chemical_formula_sum 'Sr2 U2 S8'
_cell_length_a 9.069
_cell_length_b 9.342
_cell_length_c 4.168
_cell_angle_alpha 90.00
_cell_angle_beta 90.00
_cell_angle_gamma 90.00
_space_group_name_H-M_alt 'C m m m'
_space_group_IT_number 65
_space_group_name_Hall '-C 2 2'
loop_
_atom_site_label
_atom_site_type_symbol
_atom_site_fract_x
_atom_site_fract_y
_atom_site_fract_z
_atom_site_occupancy
Sr1 Sr 0.000 0.000 0.000 1
U1 U 0.000 0.500 0.500 1
S1 S 0.000 0.329 0.000 1
S2 S 0.228 0.000 0.500 1
# - polymorph energy (0 for the lowest one) (meV/atom) = 0
# - energy relative to the elements, uncorrected (eV/atom) = -1.35



No. 2
# PBE CrFe2Ru, relaxed
data_CrFe2Ru
_chemical_formula_sum 'Cr1 Fe2 Ru1'
_cell_length_a 2.579
_cell_length_b 2.579
_cell_length_c 7.151
_cell_angle_alpha 90.00
_cell_angle_beta 90.00
_cell_angle_gamma 90.00
_space_group_name_H-M_alt 'P 4 m m'
_space_group_IT_number 99
loop_
_space_group_symop_operation_xyz
'x,y,z'
'-y,x,z'
'-x,-y,z'
'y,-x,z'
'-x,y,z'
'y,x,z'
'x,-y,z'
'-y,-x,z'
loop_
_atom_site_label
_atom_site_type_symbol
_atom_site_fract_x
_atom_site_fract_y
_atom_site_fract_z
_atom_site_occupancy
Cr1 Cr 0.000 0.000 0.000 1
Fe1 Fe 0.000 0.000 0.471 1
Fe2 Fe 0.500 0.500 0.232 1
Ru1 Ru 0.500 0.500 0.730 1
# - energy of formation from the pure elements (meV per atom) = 155
# - N(E_F) (states/eV/cell) = 5.028



No. 3
# PBE CsTiIn2S, relaxed
data_CsTiIn2S
_chemical_formula_sum 'Cs1 Ti1 In2 S1'
_cell_length_a 6.383
_cell_length_b 6.383
_cell_length_c 5.617
_cell_angle_alpha 90.00
_cell_angle_beta 90.00
_cell_angle_gamma 90.00
_space_group_name_H-M_alt 'P 4/m m m'
_space_group_IT_number 123
_space_group_name_Hall '-P 4 2'
loop_
_atom_site_label
_atom_site_type_symbol
_atom_site_fract_x
_atom_site_fract_y
_atom_site_fract_z
_atom_site_occupancy
Cs1 Cs 0.000 0.000 0.000 1
Ti1 Ti 0.000 0.000 0.500 1
In1 In 0.000 0.500 0.000 1
S1 S 0.500 0.500 0.500 1
# - N(E_F) (states/eV/cell) = 5.978
# - energy relative to the elements, uncorrected (eV/atom) = 1.67



No. 4
# PBE Ta2CrAs, relaxed
data_Ta2CrAs
_chemical_formula_sum 'Ta4 Cr2 As2'
_cell_length_a 3.386
_cell_length_b 4.513
_cell_length_c 8.332
_cell_angle_alpha 90.00
_cell_angle_beta 90.00
_cell_angle_gamma 90.00
_space_group_name_H-M_alt 'I m m m'
_space_group_IT_number 71
_space_group_name_Hall '-I 2 2'
loop_
_atom_site_label
_atom_site_type_symbol
_atom_site_fract_x
_atom_site_fract_y
_atom_site_fract_z
_atom_site_occupancy
Ta1 Ta 0.000 0.000 0.244 1
Cr1 Cr 0.000 0.500 0.500 1
As1 As 0.000 0.500 0.000 1
# - energy of formation from the pure elements (meV per atom) = -13
# - N(E_F) (states/eV/cell) = 5.440



No. 5
# PBE Rb4Dy3TlO8, relaxed
data_Rb4Dy3TlO8
_chemical_formula_sum 'Rb12 Dy9 Tl3 O24'
_cell_length_a 7.0274
_cell_length_b 7.0274
_cell_length_c 19.7116
_cell_angle_alpha 90.00
_cell_angle_beta 90.00
_cell_angle_gamma 120.00
_space_group_name_H-M_alt 'R -3 m'
_space_group_IT_number 166
_space_group_name_Hall '-R 3 2"'
loop_
_atom_site_label
_atom_site_type_symbol
_atom_site_fract_x
_atom_site_fract_y
_atom_site_fract_z
_atom_site_occupancy
Rb1 Rb 0.0000 0.0000 0.0000 1
Rb2 Rb 0.0000 0.5000 0.0000 1
Dy1 Dy 0.0000 0.5000 0.5000 1
Tl1 Tl 0.0000 0.0000 0.5000 1
O1 O 0.0000 0.0000 0.2244 1
O2 O 0.0084 0.5042 0.7727 1
# - energy relative to the elements, uncorrected (eV/atom) = -2.25



No. 6
# PBE K2LaTbTe4, relaxed
data_K2LaTbTe4
_chemical_formula_sum 'K2 La1 Tb1 Te4'
_cell_length_a 7.994
_cell_length_b 4.613
_cell_length_c 8.656
_cell_angle_alpha 90.00
_cell_angle_beta 107.89
_cell_angle_gamma 90.00
_space_group_name_H-M_alt 'P 1 2/m 1'
_space_group_IT_number 10
loop_
_space_group_symop_operation_xyz
'x,y,z'
'-x,-y,-z'
'-x,y,-z'
'x,-y,z'
loop_
_atom_site_label
_atom_site_type_symbol
_atom_site_fract_x
_atom_site_fract_y
_atom_site_fract_z
_atom_site_occupancy
K1 K 0.000 0.000 0.000 1
K2 K 0.500 0.500 0.000 1
La1 La 0.000 0.500 0.500 1
Tb1 Tb 0.500 0.000 0.500 1
Te1 Te 0.248 0.000 0.715 1
Te2 Te 0.272 0.500 0.290 1
# - N(E_F) (states/eV/cell) = 0.000
# - energy relative to the elements, uncorrected (eV/atom) = -1.45



No. 7
# PBE VGe2CCl, relaxed
data_VGe2CCl
_chemical_formula_sum 'V1 Ge2 C1 Cl1'
_cell_length_a 3.947
_cell_length_b 3.947
_cell_length_c 5.980
_cell_angle_alpha 90.00
_cell_angle_beta 90.00
_cell_angle_gamma 90.00
_space_group_name_H-M_alt 'P 4/m m m'
_space_group_IT_number 123
_space_group_name_Hall '-P 4 2'
loop_
_atom_site_label
_atom_site_type_symbol
_atom_site_fract_x
_atom_site_fract_y
_atom_site_fract_z
_atom_site_occupancy
V1 V 0.000 0.000 0.000 1
Ge1 Ge 0.000 0.500 0.500 1
C1 C 0.500 0.500 0.500 1
Cl1 Cl 0.500 0.500 0.000 1
# - N(E_F) (states/eV/cell) = 11.136
# - energy relative to the elements, uncorrected (eV/atom) = 1.35



No. 8
# PBE LiAg2Sn2S6, relaxed
data_LiAg2Sn2S6
_chemical_formula_sum 'Li2 Ag4 Sn4 S12'
_cell_length_a 6.580
_cell_length_b 11.116
_cell_length_c 6.932
_cell_angle_alpha 90.00
_cell_angle_beta 113.38
_cell_angle_gamma 90.00
_space_group_name_H-M_alt 'C 1 2/m 1'
_space_group_IT_number 12
loop_
_space_group_symop_operation_xyz
'x,y,z'
'-x,-y,-z'
'-x,y,-z'
'x,-y,z'
'x+1/2,y+1/2,z'
'-x+1/2,-y+1/2,-z'
'-x+1/2,y+1/2,-z'
'x+1/2,-y+1/2,z'
loop_
_atom_site_label
_atom_site_type_symbol
_atom_site_fract_x
_atom_site_fract_y
_atom_site_fract_z
_atom_site_occupancy
Li1 Li 0.000 0.000 0.000 1
Ag1 Ag 0.000 0.161 0.500 1
Sn1 Sn 0.000 0.328 0.000 1
S1 S 0.227 0.324 0.762 1
S2 S 0.237 0.000 0.780 1
# - N(E_F) (states/eV/cell) = 9.413
# - energy relative to the elements, uncorrected (eV/atom) = -0.36



No. 9
# PBE Y4Bi2AsP, relaxed
data_Y4Bi2AsP
_chemical_formula_sum 'Y4 Bi2 As1 P1'
_cell_length_a 7.331
_cell_length_b 4.221
_cell_length_c 7.522
_cell_angle_alpha 90.00
_cell_angle_beta 108.85
_cell_angle_gamma 90.00
_space_group_name_H-M_alt 'P 1 2/m 1'
_space_group_IT_number 10
loop_
_space_group_symop_operation_xyz
'x,y,z'
'-x,-y,-z'
'-x,y,-z'
'x,-y,z'
loop_
_atom_site_label
_atom_site_type_symbol
_atom_site_fract_x
_atom_site_fract_y
_atom_site_fract_z
_atom_site_occupancy
Y1 Y 0.236 0.000 0.221 1
Y2 Y 0.255 0.500 0.777 1
Bi1 Bi 0.000 0.000 0.500 1
Bi2 Bi 0.500 0.500 0.500 1
As1 As 0.500 0.000 0.000 1
P1 P 0.000 0.500 0.000 1
# - energy of formation from the pure elements (meV per atom) = -1210
# - N(E_F) (states/eV/cell) = 1.511



No. 10
# PBE TbCeNd2Ho, relaxed
data_TbCeNd2Ho
_chemical_formula_sum 'Tb2 Ce2 Nd4 Ho2'
_cell_length_a 6.746
_cell_length_b 8.136
_cell_length_c 6.124
_cell_angle_alpha 90.00
_cell_angle_beta 90.26
_cell_angle_gamma 90.00
_space_group_name_H-M_alt 'P 1 2/c 1'
_space_group_IT_number 13
loop_
_space_group_symop_operation_xyz
'x,y,z'
'-x,-y,-z'
'-x,y,-z+1/2'
'x,-y,z+1/2'
loop_
_atom_site_label
_atom_site_type_symbol
_atom_site_fract_x
_atom_site_fract_y
_atom_site_fract_z
_atom_site_occupancy
Tb1 Tb 0.000 0.145 0.250 1
Ce1 Ce 0.000 0.500 0.000 1
Nd1 Nd 0.265 0.189 0.752 1
Ho1 Ho 0.500 0.374 0.250 1
# - energy of formation from the pure elements (meV per atom) = 280
# - N(E_F) (states/eV/cell) = 23.050



No. 11
# PBE Ca2AuI, relaxed
data_Ca2AuI
_chemical_formula_sum 'Ca8 Au4 I4'
_cell_length_a 7.716
_cell_length_b 7.716
_cell_length_c 7.716
_cell_angle_alpha 90.00
_cell_angle_beta 90.00
_cell_angle_gamma 90.00
_space_group_name_H-M_alt 'F m -3 m'
_space_group_IT_number 225
_space_group_name_Hall '-F 4 2 3'
loop_
_atom_site_label
_atom_site_type_symbol
_atom_site_fract_x
_atom_site_fract_y
_atom_site_fract_z
_atom_site_occupancy
Ca1 Ca 0.250 0.250 0.250 1
Au1 Au 0.000 0.000 0.000 1
I1 I 0.000 0.000 0.500 1
# - polymorph energy (0 for the lowest one) (meV/atom) = 294
# - N(E_F) (states/eV/cell) = 19.608
# - energy relative to the elements, uncorrected (eV/atom) = -0.67



No. 12
# PBE CdTe2Pb, relaxed
data_CdTe2Pb
_chemical_formula_sum 'Cd4 Te8 Pb4'
_cell_length_a 7.053
_cell_length_b 7.053
_cell_length_c 13.569
_cell_angle_alpha 90.00
_cell_angle_beta 90.00
_cell_angle_gamma 90.00
_space_group_name_H-M_alt 'I -4 2 d'
_space_group_IT_number 122
_space_group_name_Hall 'I -4 2bw'
loop_
_atom_site_label
_atom_site_type_symbol
_atom_site_fract_x
_atom_site_fract_y
_atom_site_fract_z
_atom_site_occupancy
Cd1 Cd 0.000 0.000 0.000 1
Te1 Te 0.215 0.250 0.125 1
Pb1 Pb 0.000 0.000 0.500 1
# - N(E_F) (states/eV/cell) = 0.000
# - energy relative to the elements, uncorrected (eV/atom) = -0.32



| no. | magnetic moment (Bohr magnetons per cell) |
| --- | --- |
| 1 | 0.2 |
| 2 | 2.1 |
| 3 | 3.9 |
| 4 | 1.8 |
| 5 | 0.0 |
| 6 | 0.0 |
| 7 | 0.3 |
| 8 | 0.0 |
| 9 | 0.0 |
| 10 | 1.0 |
| 11 | 0.0 |
| 12 | 0.0 |